The following is a DFT calculation (PBE) of a geometry-optimized BiBAu2 structure.

abc: 5.131 5.131 7.596
angles: 70.26 70.26 90.00
Sites, in units of the cell vectors:
Au 0.261 0.625 0.250
B 0.500 0.500 0.000
Au 0.375 0.511 0.750
Bi 0.000 0.000 0.000
B 0.250 0.750 0.500
Au 0.875 0.739 0.750
Au 0.489 0.125 0.250
Bi 0.750 0.250 0.500

Output
- ΔE to the lowest computed polymorph: 0 meV per atom
- Symmetry: No. 122
- E_tot: -30.81 eV for the cell shown
- Size of the total moment: 0.0 μB per cell
- Energy of formation from the pure elements: 0.427 eV/atom

=====

The following is a DFT calculation (PBE) of a geometry-optimized SmZnCd2 structure.

abc: 4.834 4.426 4.426
angles: 90.00 90.00 90.00
Sites, in units of the cell vectors:
Zn 0.500 0.000 0.000
Cd 0.000 0.000 0.500
Sm 0.500 0.500 0.500
Cd 0.000 0.500 0.000

Output
- Symmetry: No. 123
- E_tot: -8.69 eV for the cell shown
- Size of the total moment: 0.0 μB per cell
- Energy of formation from the pure elements: -0.218 eV/atom

=====

The following is a DFT calculation (PBE) of a geometry-optimized CrCo2H2 structure.

abc: 2.583 2.584 6.623
angles: 90.00 90.00 119.99
Site moments in Bohr magnetons follow the coordinates.
Sites, in units of the cell vectors:
Cr 0.500 0.500 0.000  0.21
Co 0.167 0.834 0.302  0.79
H 0.167 0.833 0.582  -0.01
H 0.833 0.167 0.418  -0.01
Co 0.833 0.166 0.698  0.79

Output
- ΔE to the lowest computed polymorph: 0 meV per atom
- Symmetry: No. 164
- E_tot: -29.94 eV for the cell shown
- Size of the total moment: 1.8 μB per cell